Record 1
Compound: AgCl2
Source: Alexandria
Functional: PBE-GGA
Structure: relaxed

Values from the calculation:
formation energy from raw total energies = -0.2271 eV/atom

The structure in CIF format:
```
data_AgCl2
_chemical_formula_sum 'Ag4 Cl8'
_cell_length_a 4.819
_cell_length_b 4.822
_cell_length_c 15.372
_cell_angle_alpha 90.00
_cell_angle_beta 90.00
_cell_angle_gamma 90.00
_space_group_name_H-M_alt 'I m m a'
_space_group_IT_number 74
_space_group_name_Hall '-I 2b 2'
loop_
_atom_site_label
_atom_site_type_symbol
_atom_site_fract_x
_atom_site_fract_y
_atom_site_fract_z
Ag1 Ag 0.000 0.250 0.123
Cl1 Cl 0.000 0.250 0.399
Cl2 Cl 0.000 0.250 0.854
```

Record 2
Compound: Sc2ReSBr
Source: Alexandria
Functional: PBE-GGA
Structure: relaxed

Values from the calculation:
formation energy from raw total energies = -0.1014 eV/atom

The structure in CIF format:
```
data_Sc2ReSBr
_chemical_formula_sum 'Sc2 Re1 S1 Br1'
_cell_length_a 5.052
_cell_length_b 5.052
_cell_length_c 4.254
_cell_angle_alpha 90.00
_cell_angle_beta 90.00
_cell_angle_gamma 90.00
_space_group_name_H-M_alt 'P 4/m m m'
_space_group_IT_number 123
_space_group_name_Hall '-P 4 2'
loop_
_atom_site_label
_atom_site_type_symbol
_atom_site_fract_x
_atom_site_fract_y
_atom_site_fract_z
Sc1 Sc 0.000 0.500 0.000
Re1 Re 0.000 0.000 0.500
S1 S 0.000 0.000 0.000
Br1 Br 0.500 0.500 0.500
```

Record 3
Compound: AlCr2Re
Source: Alexandria
Functional: PBE-GGA
Structure: relaxed

Values from the calculation:
formation energy from the elements = -49 meV per atom

The structure in CIF format:
```
data_AlCr2Re
_chemical_formula_sum 'Al1 Cr2 Re1'
_cell_length_a 2.607
_cell_length_b 4.133
_cell_length_c 4.978
_cell_angle_alpha 90.00
_cell_angle_beta 101.61
_cell_angle_gamma 90.00
_space_group_name_H-M_alt 'P 1 m 1'
_space_group_IT_number 6
loop_
_space_group_symop_operation_xyz
'x,y,z'
'x,-y,z'
loop_
_atom_site_label
_atom_site_type_symbol
_atom_site_fract_x
_atom_site_fract_y
_atom_site_fract_z
Al1 Al 0.000 0.000 0.000
Cr1 Cr 0.537 0.000 0.484
Cr2 Cr 0.732 0.500 0.239
Re1 Re 0.309 0.500 0.741
```

Record 4
Compound: Sc3Al2Pt3
Source: Alexandria
Functional: PBE-GGA
Structure: relaxed

Values from the calculation:
formation energy from the elements = -1100 meV per atom

The structure in CIF format:
```
data_Sc3Al2Pt3
_chemical_formula_sum 'Sc6 Al4 Pt6'
_cell_length_a 7.8864
_cell_length_b 7.8864
_cell_length_c 5.3522
_cell_angle_alpha 90.00
_cell_angle_beta 90.00
_cell_angle_gamma 120.00
_space_group_name_H-M_alt 'P 63/m c m'
_space_group_IT_number 193
_space_group_name_Hall '-P 6c 2'
loop_
_atom_site_label
_atom_site_type_symbol
_atom_site_fract_x
_atom_site_fract_y
_atom_site_fract_z
Sc1 Sc 0.0000 0.2639 0.2500
Al1 Al 0.3333 0.6667 0.0000
Pt1 Pt 0.0000 0.3937 0.7500
```

Record 5
Compound: HoSi2Pt3
Source: Alexandria
Functional: PBE-GGA
Structure: relaxed

Values from the calculation:
formation energy from raw total energies = -1.0448 eV/atom

The structure in CIF format:
```
data_HoSi2Pt3
_chemical_formula_sum 'Ho6 Si12 Pt18'
_cell_length_a 16.249
_cell_length_b 3.959
_cell_length_c 9.926
_cell_angle_alpha 90.00
_cell_angle_beta 107.45
_cell_angle_gamma 90.00
_space_group_name_H-M_alt 'C 1 2/m 1'
_space_group_IT_number 12
loop_
_space_group_symop_operation_xyz
'x,y,z'
'-x,-y,-z'
'-x,y,-z'
'x,-y,z'
'x+1/2,y+1/2,z'
'-x+1/2,-y+1/2,-z'
'-x+1/2,y+1/2,-z'
'x+1/2,-y+1/2,z'
loop_
_atom_site_label
_atom_site_type_symbol
_atom_site_fract_x
_atom_site_fract_y
_atom_site_fract_z
Ho1 Ho 0.000 0.000 0.000
Ho2 Ho 0.153 0.000 0.689
Si1 Si 0.038 0.500 0.778
Si2 Si 0.137 0.500 0.448
Si3 Si 0.200 0.000 0.132
Pt1 Pt 0.000 0.500 0.500
Pt2 Pt 0.039 0.000 0.326
Pt3 Pt 0.120 0.500 0.192
Pt4 Pt 0.175 0.500 0.952
Pt5 Pt 0.225 0.000 0.388
```

Record 6
Compound: NaHf3P
Source: Alexandria
Functional: PBE-GGA
Structure: relaxed

Values from the calculation:
formation energy from the elements = 71 meV per atom
ΔE to the lowest computed polymorph = 0.0 meV per atom

The structure in CIF format:
```
data_NaHf3P
_chemical_formula_sum 'Na1 Hf3 P1'
_cell_length_a 4.913
_cell_length_b 4.913
_cell_length_c 4.913
_cell_angle_alpha 90.00
_cell_angle_beta 90.00
_cell_angle_gamma 90.00
_space_group_name_H-M_alt 'P m -3 m'
_space_group_IT_number 221
_space_group_name_Hall '-P 4 2 3'
loop_
_atom_site_label
_atom_site_type_symbol
_atom_site_fract_x
_atom_site_fract_y
_atom_site_fract_z
Na1 Na 0.000 0.000 0.000
Hf1 Hf 0.000 0.500 0.500
P1 P 0.500 0.500 0.500
```

Record 7
Compound: KNa2PuO4
Source: Alexandria
Functional: PBE-GGA
Structure: relaxed

Values from the calculation:
formation energy from raw total energies = -2.1240 eV/atom

The structure in CIF format:
```
data_KNa2PuO4
_chemical_formula_sum 'K4 Na8 Pu4 O16'
_cell_length_a 6.710
_cell_length_b 6.920
_cell_length_c 10.842
_cell_angle_alpha 90.00
_cell_angle_beta 90.00
_cell_angle_gamma 90.00
_space_group_name_H-M_alt 'I m m a'
_space_group_IT_number 74
_space_group_name_Hall '-I 2b 2'
loop_
_atom_site_label
_atom_site_type_symbol
_atom_site_fract_x
_atom_site_fract_y
_atom_site_fract_z
K1 K 0.250 0.250 0.250
Na1 Na 0.000 0.000 0.000
Na2 Na 0.250 0.250 0.750
Pu1 Pu 0.000 0.000 0.500
O1 O 0.000 0.020 0.682
O2 O 0.226 0.250 0.497
```

Record 8
Compound: ScNi2Os2
Source: Alexandria
Functional: PBE-GGA
Structure: relaxed

Values from the calculation:
formation energy from the elements = 99 meV per atom

The structure in CIF format:
```
data_ScNi2Os2
_chemical_formula_sum 'Sc2 Ni4 Os4'
_cell_length_a 3.864
_cell_length_b 3.864
_cell_length_c 10.581
_cell_angle_alpha 90.00
_cell_angle_beta 90.00
_cell_angle_gamma 90.00
_space_group_name_H-M_alt 'I 4/m m m'
_space_group_IT_number 139
_space_group_name_Hall '-I 4 2'
loop_
_atom_site_label
_atom_site_type_symbol
_atom_site_fract_x
_atom_site_fract_y
_atom_site_fract_z
Sc1 Sc 0.000 0.000 0.000
Ni1 Ni 0.000 0.500 0.250
Os1 Os 0.000 0.000 0.391
```

Record 9
Compound: Ba2YRe3O12
Source: Alexandria
Functional: PBE-GGA
Structure: relaxed

Values from the calculation:
formation energy from raw total energies = -2.1030 eV/atom

The structure in CIF format:
```
data_Ba2YRe3O12
_chemical_formula_sum 'Ba6 Y3 Re9 O36'
_cell_length_a 7.4310
_cell_length_b 7.4310
_cell_length_c 16.9038
_cell_angle_alpha 90.00
_cell_angle_beta 90.00
_cell_angle_gamma 120.00
_space_group_name_H-M_alt 'R -3 m'
_space_group_IT_number 166
_space_group_name_Hall '-R 3 2"'
loop_
_atom_site_label
_atom_site_type_symbol
_atom_site_fract_x
_atom_site_fract_y
_atom_site_fract_z
Ba1 Ba 0.0000 0.0000 0.1234
Y1 Y 0.0000 0.0000 0.5000
Re1 Re 0.0000 0.5000 0.0000
O1 O 0.0040 0.5020 0.8872
O2 O 0.0804 0.5402 0.3305
```

Record 10
Compound: HfTa3Mn
Source: Alexandria
Functional: PBE-GGA
Structure: relaxed

Values from the calculation:
formation energy from the elements = 2033 meV per atom
ΔE to the lowest computed polymorph = 1397.5 meV per atom

The structure in CIF format:
```
data_HfTa3Mn
_chemical_formula_sum 'Hf1 Ta3 Mn1'
_cell_length_a 4.905
_cell_length_b 4.905
_cell_length_c 4.905
_cell_angle_alpha 90.00
_cell_angle_beta 90.00
_cell_angle_gamma 90.00
_space_group_name_H-M_alt 'P m -3 m'
_space_group_IT_number 221
_space_group_name_Hall '-P 4 2 3'
loop_
_atom_site_label
_atom_site_type_symbol
_atom_site_fract_x
_atom_site_fract_y
_atom_site_fract_z
Hf1 Hf 0.000 0.000 0.000
Ta1 Ta 0.000 0.000 0.500
Mn1 Mn 0.500 0.500 0.500
```

Record 11
Compound: PrEr3Tm
Source: Alexandria
Functional: PBE-GGA
Structure: relaxed

Values from the calculation:
formation energy from the elements = 343 meV per atom
ΔE to the lowest computed polymorph = 331.0 meV per atom

The structure in CIF format:
```
data_PrEr3Tm
_chemical_formula_sum 'Pr2 Er6 Tm2'
_cell_length_a 3.633
_cell_length_b 11.522
_cell_length_c 8.474
_cell_angle_alpha 90.00
_cell_angle_beta 102.37
_cell_angle_gamma 90.00
_space_group_name_H-M_alt 'P 1 21/m 1'
_space_group_IT_number 11
loop_
_space_group_symop_operation_xyz
'x,y,z'
'-x,-y,-z'
'-x,y+1/2,-z'
'x,-y+1/2,z'
loop_
_atom_site_label
_atom_site_type_symbol
_atom_site_fract_x
_atom_site_fract_y
_atom_site_fract_z
Pr1 Pr 0.196 0.250 0.390
Er1 Er 0.141 0.750 0.282
Er2 Er 0.347 0.003 0.694
Tm1 Tm 0.478 0.750 0.958
```

Question: Which formula does entry 9 have?
Answer: Ba2YRe3O12

Question: Which formula does entry 2 have?
Answer: Sc2ReSBr